Computed, not measured: BWI2O after structural relaxation at the PBE+U level of DFT.

Cell: 5.934 5.934 3.032 Å, 90.00 90.00 90.00°
Fractional coordinates of all 5 atoms:
I (0.500, 0.000, 0.000)
I (0.000, 0.500, 0.000)
B (0.000, 0.000, 0.000)
O (0.000, 0.000, 0.500)
W (0.500, 0.500, 0.500)

Properties
As for the space-group type: No. 123. The calculation puts the density of states at the Fermi level at 2.583 states/eV per cell. The energy above the most stable polymorph in this dataset is 69 kJ/mol of formula units. The total energy is -0.1360 hartree per atom.